Record 1
## BeAs2RuBr (GGA-PBEsol)

Data for crystalline BeAs2RuBr at its relaxed geometry.

Results
The value obtained for the uncorrected formation energy is 914 meV/atom. The magnetization is 0.000 μB/atom.

Cell and atoms, written as extended XYZ:
```
5
Lattice="-1.178 -2.578 -3.194 -2.352 -2.299 2.724 -3.651 2.725 -0.853" Properties=species:S:1:pos:R:3 pbc="T T T"
Ru -3.591 -1.076 -0.662
As -1.176 -1.150 1.362
As -0.589 -1.289 -1.597
Br -1.826 1.363 -0.426
Be 0.000 0.000 0.000
```

Record 2
## BeAs2RuBr (GGA-PBEsol)

Data for crystalline BeAs2RuBr at its relaxed geometry.

Results
The value obtained for the uncorrected formation energy is 833 meV/atom. The magnetization is 0.000 μB/atom.

Cell and atoms, written as extended XYZ:
```
5
Lattice="4.629 0.000 0.000 0.000 4.629 0.000 0.000 0.000 5.260" Properties=species:S:1:pos:R:3 pbc="T T T"
Ru 0.000 0.000 0.000
As 0.000 2.315 0.000
As 2.315 0.000 0.000
Br 0.000 0.000 2.630
Be 2.315 2.315 2.630
```

Record 3
## BeAsSe2Br (GGA-PBEsol)

Data for crystalline BeAsSe2Br at its relaxed geometry.

Results
The value obtained for the uncorrected formation energy is 744 meV/atom. The magnetization is 0.000 μB/atom.

Cell and atoms, written as extended XYZ:
```
5
Lattice="-2.580 -3.854 1.830 3.126 -0.252 3.876 -2.944 3.196 2.581" Properties=species:S:1:pos:R:3 pbc="T T T"
Be -1.199 -0.455 4.144
As 0.000 0.000 0.000
Se 1.563 -0.126 1.938
Se -1.290 -1.927 0.915
Br -1.472 1.598 1.291
```